First-principles (PBE) data for crystalline Ca2SiOs at its relaxed geometry, as listed in the Alexandria database.

Results
raw formation energy	0.27	eV/atom

Cell lengths 4.307, 4.307, 4.284 Å; angles 90.00, 90.00, 90.00 degrees
Positions (direct):
Ca  0.000  0.500  0.000
Ca  0.500  0.000  0.000
Si  0.000  0.000  0.500
Os  0.500  0.500  0.500



First-principles (PBE) data for crystalline Ca2SiOs at its relaxed geometry, as listed in the Alexandria database.

Results
raw formation energy	0.48	eV/atom

Cell lengths 9.579, 9.579, 9.579 Å; angles 19.46, 19.46, 19.46 degrees
Positions (direct):
Ca  0.245  0.245  0.245
Ca  0.755  0.755  0.755
Si  0.000  0.000  0.000
Os  0.500  0.500  0.500



First-principles (PBE) data for crystalline CaSiOs at its relaxed geometry, as listed in the Alexandria database.

Results
raw formation energy	-0.27	eV/atom

Cell lengths 4.025, 4.025, 4.532 Å; angles 90.00, 90.00, 120.00 degrees
Positions (direct):
Ca  0.000  0.000  0.000
Si  0.333  0.667  0.500
Os  0.667  0.333  0.500



First-principles (PBE) data for crystalline CaSiOs at its relaxed geometry, as listed in the Alexandria database.

Results
raw formation energy	1.46	eV/atom

Cell lengths 4.523, 4.523, 4.523 Å; angles 60.00, 60.00, 60.00 degrees
Positions (direct):
Ca  0.000  0.000  0.000
Si  0.750  0.750  0.750
Os  0.250  0.250  0.250



First-principles (PBE) data for crystalline Ca3SiOs at its relaxed geometry, as listed in the Alexandria database.

Results
raw formation energy	0.58	eV/atom
energy relative to the lowest polymorph listed for this composition	0.000	eV per atom

Cell lengths 5.387, 5.387, 5.387 Å; angles 90.00, 90.00, 90.00 degrees
Positions (direct):
Ca  0.000  0.000  0.500
Ca  0.000  0.500  0.000
Ca  0.500  0.000  0.000
Si  0.500  0.500  0.500
Os  0.000  0.000  0.000



First-principles (PBE) data for crystalline Ca2SiOs at its relaxed geometry, as listed in the Alexandria database.

Results
raw formation energy	0.23	eV/atom

Cell lengths 4.757, 4.757, 4.757 Å; angles 60.00, 60.00, 60.00 degrees
Positions (direct):
Ca  0.000  0.000  0.000
Ca  0.250  0.250  0.250
Si  0.750  0.750  0.750
Os  0.500  0.500  0.500



First-principles (PBE) data for crystalline Ca2SiOs at its relaxed geometry, as listed in the Alexandria database.

Results
raw formation energy	-0.19	eV/atom

Cell lengths 4.061, 5.793, 5.793 Å; angles 45.31, 90.00, 90.00 degrees
Positions (direct):
Ca  0.000  0.000  0.000
Ca  0.500  0.287  0.287
Si  0.500  0.589  0.589
Os  0.000  0.694  0.694



First-principles (PBE) data for crystalline Ca2Si4Os3 at its relaxed geometry, as listed in the Alexandria database.

Results
raw formation energy	-0.19	eV/atom

Cell lengths 7.679, 6.621, 5.552 Å; angles 77.67, 57.39, 44.94 degrees
Positions (direct):
Ca  0.134  0.134  0.866
Ca  0.866  0.866  0.134
Si  0.162  0.526  0.474
Si  0.474  0.838  0.162
Si  0.526  0.162  0.838
Si  0.838  0.474  0.526
Os  0.000  0.000  0.500
Os  0.500  0.500  0.000
Os  0.500  0.500  0.500



no.,calculated density (Mg/m³)
1,6.2
2,5.8
3,6.7
4,6.6
5,3.6
6,6.5
7,5.1
8,7.9